ZnSbTeI2 | PBE-GGA | relaxed

Cell: 5.3672 5.3672 5.6225 Å, 90.00 90.00 90.00°
Last column: nearest neighbours and their distance in Å.
Fractional positions:
I (0.0000, 0.5000, 0.0000)  2 Zn 2.68
I (0.5000, 0.0000, 0.0000)  2 Zn 2.68
Sb (0.5000, 0.5000, 0.5000)  4 Te 3.80, 8 I 3.89
Zn (0.0000, 0.0000, 0.0000)  4 I 2.68, 2 Te 2.81
Te (0.0000, 0.0000, 0.5000)  2 Zn 2.81

Output
**DOS at the Fermi energy**: 3.66 states/eV/cell
**DFT total energy**: -10.28 eV/cell
**Space-group type**: P4/mmm (123)

ZnSbTe2I | PBE-GGA | relaxed

Cell: 5.3614 5.3614 5.3655 Å, 90.00 90.00 90.00°
Last column: nearest neighbours and their distance in Å.
Fractional positions:
I (0.0000, 0.0000, 0.5000)  2 Zn 2.68
Sb (0.5000, 0.5000, 0.5000)  4 I 3.79, 8 Te 3.79
Zn (0.0000, 0.0000, 0.0000)  4 Te 2.68, 2 I 2.68
Te (0.0000, 0.5000, 0.0000)  2 Zn 2.68
Te (0.5000, 0.0000, 0.0000)  2 Zn 2.68

Output
**DOS at the Fermi energy**: 4.96 states/eV/cell
**DFT total energy**: -11.47 eV/cell
**Space-group type**: P4/mmm (123)

Zn2SbTeI | PBE-GGA | relaxed

Cell: 5.3506 5.9943 5.3506 Å, 90.00 90.00 90.00°
Last column: nearest neighbours and their distance in Å.
Fractional positions:
I (0.0000, 0.0000, 0.0000)  4 Zn 2.68
Sb (0.0000, 0.5000, 0.0000)  2 I 3.00
Zn (0.0000, 0.0000, 0.5000)  2 I 2.68
Zn (0.5000, 0.0000, 0.0000)  2 I 2.68
Te (0.5000, 0.5000, 0.5000)  4 Sb 3.78, 8 Zn 4.02

Output
**DOS at the Fermi energy**: 3.86 states/eV/cell
**DFT total energy**: -7.67 eV/cell
**Space-group type**: P4/mmm (123)

ZnSbTeI2 | PBE-GGA | relaxed

Cell: 6.0353 6.0353 5.7925 Å, 90.00 90.00 90.00°
Last column: nearest neighbours and their distance in Å.
Fractional positions:
I (0.0000, 0.5000, 0.0000)  2 Sb 3.02
I (0.5000, 0.0000, 0.0000)  2 Sb 3.02
Sb (0.0000, 0.0000, 0.0000)  2 Te 2.90, 4 I 3.02
Zn (0.5000, 0.5000, 0.5000)  8 I 4.18, 4 Te 4.27
Te (0.0000, 0.0000, 0.5000)  2 Sb 2.90

Output
**DOS at the Fermi energy**: 4.84 states/eV/cell
**DFT total energy**: -10.36 eV/cell
**Space-group type**: P4/mmm (123)

ZnSbTe2I | PBE-GGA | relaxed

Cell: 5.8604 5.8604 5.9767 Å, 90.00 90.00 90.00°
Last column: nearest neighbours and their distance in Å.
Fractional positions:
I (0.0000, 0.0000, 0.0000)  4 Te 2.93, 2 Sb 2.99
Sb (0.0000, 0.0000, 0.5000)  2 I 2.99
Zn (0.5000, 0.5000, 0.5000)  4 Sb 4.14, 8 Te 4.19
Te (0.0000, 0.5000, 0.0000)  2 I 2.93
Te (0.5000, 0.0000, 0.0000)  2 I 2.93

Output
**DOS at the Fermi energy**: 4.38 states/eV/cell
**DFT total energy**: -8.29 eV/cell
**Space-group type**: P4/mmm (123)

ZnSbTe2I | PBE-GGA | relaxed

Cell: 5.7782 5.7782 5.9965 Å, 90.00 90.00 90.00°
Last column: nearest neighbours and their distance in Å.
Fractional positions:
I (0.0000, 0.0000, 0.5000)  2 Sb 3.00
Sb (0.0000, 0.0000, 0.0000)  4 Te 2.89, 2 I 3.00
Zn (0.5000, 0.5000, 0.5000)  4 I 4.09, 8 Te 4.16
Te (0.0000, 0.5000, 0.0000)  2 Sb 2.89
Te (0.5000, 0.0000, 0.0000)  2 Sb 2.89

Output
**DOS at the Fermi energy**: 5.10 states/eV/cell
**DFT total energy**: -11.03 eV/cell
**Space-group type**: P4/mmm (123)

ZnSbTeI2 | PBE-GGA | relaxed

Cell: 6.1042 6.1042 6.0930 Å, 90.00 90.00 90.00°
Last column: nearest neighbours and their distance in Å.
Fractional positions:
I (0.0000, 0.5000, 0.0000)  2 Te 3.05
I (0.5000, 0.0000, 0.0000)  2 Te 3.05
Sb (0.0000, 0.0000, 0.5000)  2 Te 3.05
Zn (0.5000, 0.5000, 0.5000)  8 I 4.31, 4 Sb 4.32
Te (0.0000, 0.0000, 0.0000)  2 Sb 3.05, 4 I 3.05

Output
**DOS at the Fermi energy**: 2.79 states/eV/cell
**DFT total energy**: -9.29 eV/cell
**Space-group type**: P4/mmm (123)

ZnSbTe2I | PBE-GGA | relaxed

Cell: 5.2915 5.2915 5.5440 Å, 90.00 90.00 90.00°
Last column: nearest neighbours and their distance in Å.
Fractional positions:
I (0.5000, 0.5000, 0.5000)  4 Sb 3.74, 8 Te 3.83
Sb (0.0000, 0.0000, 0.5000)  2 Zn 2.77
Zn (0.0000, 0.0000, 0.0000)  4 Te 2.65, 2 Sb 2.77
Te (0.0000, 0.5000, 0.0000)  2 Zn 2.65
Te (0.5000, 0.0000, 0.0000)  2 Zn 2.65

Output
**DOS at the Fermi energy**: 5.64 states/eV/cell
**DFT total energy**: -11.17 eV/cell
**Space-group type**: P4/mmm (123)